Entry 1:
First-principles (PBE) data for an optimized crystal structure of Zr4Rh3, as listed in Alexandria.

The space group is R-3m (No. 166, hexagonal axes) and the conventional cell measures 4.6107, 4.6107 and 22.5498 Å, with angles of 90.00, 90.00 and 120.00 degrees. Symmetry generates all atoms from Zr at (0.0000, 0.0000, 0.1214), Zr at (0.0000, 0.0000, 0.3717), Rh at (0.0000, 0.0000, 0.2483) and Rh at (0.0000, 0.0000, 0.5000).

The energy above the most stable polymorph in this dataset comes out at 31 kJ/mol of formula units. The calculation puts the formation energy at -0.589 eV/atom. As for the total magnetic moment: 0.0 μB/cell. The calculation puts the theoretical density at 8.1 g/cm3. The density of states at the Fermi level is 25.4 states/eV per cell.

Entry 2:
First-principles (PBE) data for an optimized crystal structure of BaHg2I6, as listed in Alexandria.

The space group is C2/c (No. 15) and the conventional cell measures 16.2272, 13.1076 and 8.3805 Å, with angles of 90.00, 110.81 and 90.00 degrees. Symmetry generates all atoms from Ba at (0.0000, 0.1776, 0.2500), Hg at (0.2046, 0.4164, 0.2341), I at (0.1114, 0.0522, 0.6473), I at (0.1152, 0.2695, 0.9990) and I at (0.1436, 0.3900, 0.5152).

The energy above the most stable polymorph in this dataset comes out at 6 kJ/mol of formula units. As for the total magnetic moment: 0.0 μB/cell. The calculation puts the formation energy without anion corrections at -0.75 eV/atom. The calculation puts the theoretical density at 5.2 g/cm3. The density of states at the Fermi level is 0.0 states/eV per cell.

Entry 3:
First-principles (PBE) data for an optimized crystal structure of Ho2Co2Ru, as listed in Alexandria.

The space group is P4/mbm (No. 127) and the conventional cell measures 6.4986, 6.4986 and 4.1923 Å, with angles of 90.00, 90.00 and 90.00 degrees. Symmetry generates all atoms from Ho at (0.1840, 0.3160, 0.0000), Co at (0.1225, 0.6225, 0.5000) and Ru at (0.0000, 0.0000, 0.5000).

The energy above the most stable polymorph in this dataset comes out at 53 kJ/mol of formula units. The calculation puts the formation energy at -0.134 eV/atom. As for the total magnetic moment: 2.1 μB/cell. The calculation puts the theoretical density at 10.3 g/cm3. The density of states at the Fermi level is 13.1 states/eV per cell.

Entry 4:
First-principles (PBE) data for an optimized crystal structure of Er2BeNi, as listed in Alexandria.

The space group is Fm-3m (No. 225) and the conventional cell measures 6.7173, 6.7173 and 6.7173 Å, with angles of 90.00, 90.00 and 90.00 degrees. Symmetry generates all atoms from Er at (0.2500, 0.2500, 0.2500), Be at (0.0000, 0.0000, 0.0000) and Ni at (0.0000, 0.0000, 0.5000).

The energy above the most stable polymorph in this dataset comes out at 9 kJ/mol of formula units. The calculation puts the formation energy at -0.171 eV/atom. As for the total magnetic moment: 0.0 μB/cell. The calculation puts the theoretical density at 8.8 g/cm3. The density of states at the Fermi level is 9.9 states/eV per cell.